[1]
Pm3Ho7Mg | PBE | relaxed

Structure (CIF):
```
data_Pm3Ho7Mg
_chemical_formula_sum 'Pm6 Ho14 Mg2'
_cell_length_a 5.810
_cell_length_b 10.947
_cell_length_c 11.286
_cell_angle_alpha 90.00
_cell_angle_beta 90.00
_cell_angle_gamma 90.00
_space_group_name_H-M_alt 'I m m m'
_space_group_IT_number 71
_space_group_name_Hall '-I 2 2'
loop_
_atom_site_label
_atom_site_fract_x
_atom_site_fract_y
_atom_site_fract_z
Pm1 0.000 0.000 0.000
Pm2 0.000 0.500 0.288
Ho1 0.000 0.196 0.205
Ho2 0.000 0.284 0.500
Ho3 0.000 0.500 0.000
Mg1 0.000 0.000 0.500
```

Results
Density   7.47 Mg/m³
Calculated formation energy   0.25 eV per atom
Calculated total energy   -4.10 eV per atom
Crystal system   orthorhombic

[2]
Y4SiTe2Pb | PBE | relaxed

Structure (CIF):
```
data_Y4SiTe2Pb
_chemical_formula_sum 'Y4 Si1 Te2 Pb1'
_cell_length_a 7.552
_cell_length_b 4.298
_cell_length_c 7.582
_cell_angle_alpha 90.00
_cell_angle_beta 108.99
_cell_angle_gamma 90.00
_space_group_name_H-M_alt 'P 1 2/m 1'
_space_group_IT_number 10
loop_
_space_group_symop_operation_xyz
'x,y,z'
'-x,-y,-z'
'-x,y,-z'
'x,-y,z'
loop_
_atom_site_label
_atom_site_fract_x
_atom_site_fract_y
_atom_site_fract_z
Y1 0.229 0.000 0.223
Y2 0.242 0.500 0.767
Si1 0.000 0.500 0.000
Te1 0.000 0.000 0.500
Te2 0.500 0.500 0.500
Pb1 0.500 0.000 0.000
```

Results
Density   6.04 Mg/m³
Calculated total energy   -6.19 eV per atom
Crystal system   monoclinic
Uncorrected formation energy   -1.03 eV/atom

[3]
Ti2Al5Co2Rh | PBE | relaxed

Structure (CIF):
```
data_Ti2Al5Co2Rh
_chemical_formula_sum 'Ti4 Al10 Co4 Rh2'
_cell_length_a 8.564
_cell_length_b 8.564
_cell_length_c 3.894
_cell_angle_alpha 90.00
_cell_angle_beta 90.00
_cell_angle_gamma 90.00
_space_group_name_H-M_alt 'P 4/m b m'
_space_group_IT_number 127
_space_group_name_Hall '-P 4 2ab'
loop_
_atom_site_label
_atom_site_fract_x
_atom_site_fract_y
_atom_site_fract_z
Ti1 0.170 0.330 0.000
Al1 0.000 0.500 0.500
Al2 0.074 0.796 0.500
Co1 0.119 0.619 0.000
Rh1 0.000 0.000 0.000
```

Results
Density   5.25 Mg/m³
Calculated formation energy   -0.55 eV per atom
Calculated total energy   -6.15 eV per atom
Crystal system   tetragonal

[4]
Er3Cl7O | PBE | relaxed

Structure (CIF):
```
data_Er3Cl7O
_chemical_formula_sum 'Er3 Cl7 O1'
_cell_length_a 7.6174
_cell_length_b 7.6174
_cell_length_c 6.5658
_cell_angle_alpha 90.00
_cell_angle_beta 90.00
_cell_angle_gamma 120.00
_space_group_name_H-M_alt 'P 3 m 1'
_space_group_IT_number 156
loop_
_space_group_symop_operation_xyz
'x,y,z'
'-y,x-y,z'
'-x+y,-x,z'
'-y,-x,z'
'-x+y,y,z'
'x,x-y,z'
loop_
_atom_site_label
_atom_site_fract_x
_atom_site_fract_y
_atom_site_fract_z
Er1 0.0244 0.5122 0.0000
Cl1 0.1670 0.3341 0.2378
Cl2 0.3449 0.1724 0.7863
Cl3 0.6667 0.3333 0.2285
O1 0.3333 0.6667 0.8959
```

Results
Density   3.85 Mg/m³
Calculated total energy   -5.33 eV per atom
Crystal system   trigonal
Uncorrected formation energy   -2.46 eV/atom

[5]
ZrTl3Si | PBE | relaxed

Structure (CIF):
```
data_ZrTl3Si
_chemical_formula_sum 'Zr1 Tl3 Si1'
_cell_length_a 5.203
_cell_length_b 5.203
_cell_length_c 5.203
_cell_angle_alpha 90.00
_cell_angle_beta 90.00
_cell_angle_gamma 90.00
_space_group_name_H-M_alt 'P m -3 m'
_space_group_IT_number 221
_space_group_name_Hall '-P 4 2 3'
loop_
_atom_site_label
_atom_site_fract_x
_atom_site_fract_y
_atom_site_fract_z
Zr1 0.000 0.000 0.000
Tl1 0.000 0.500 0.500
Si1 0.500 0.500 0.500
```

Results
Density   8.63 Mg/m³
Calculated total energy   -3.36 eV per atom
Crystal system   cubic
Uncorrected formation energy   0.86 eV/atom

[6]
LiInRe2 | PBE | relaxed

Structure (CIF):
```
data_LiInRe2
_chemical_formula_sum 'Li4 In4 Re8'
_cell_length_a 3.742
_cell_length_b 3.742
_cell_length_c 19.650
_cell_angle_alpha 90.00
_cell_angle_beta 90.00
_cell_angle_gamma 90.00
_space_group_name_H-M_alt 'I -4 2 d'
_space_group_IT_number 122
_space_group_name_Hall 'I -4 2bw'
loop_
_atom_site_label
_atom_site_fract_x
_atom_site_fract_y
_atom_site_fract_z
Li1 0.000 0.000 0.000
In1 0.000 0.000 0.500
Re1 0.211 0.250 0.125
```

Results
Density   11.93 Mg/m³
Calculated formation energy   0.62 eV per atom
Calculated total energy   -6.77 eV per atom
Crystal system   tetragonal

[7]
Ho4CoRu2 | PBE | relaxed

Structure (CIF):
```
data_Ho4CoRu2
_chemical_formula_sum 'Ho12 Co3 Ru6'
_cell_length_a 4.7827
_cell_length_b 4.7827
_cell_length_c 22.9915
_cell_angle_alpha 90.00
_cell_angle_beta 90.00
_cell_angle_gamma 120.00
_space_group_name_H-M_alt 'R -3 m'
_space_group_IT_number 166
_space_group_name_Hall '-R 3 2"'
loop_
_atom_site_label
_atom_site_fract_x
_atom_site_fract_y
_atom_site_fract_z
Ho1 0.0000 0.0000 0.1244
Ho2 0.0000 0.0000 0.3751
Co1 0.0000 0.0000 0.5000
Ru1 0.0000 0.0000 0.2481
```

Results
Density   10.07 Mg/m³
Calculated formation energy   -0.26 eV per atom
Calculated total energy   -6.54 eV per atom
Crystal system   trigonal

[8]
Mn2BiPd8 | PBE | relaxed

Structure (CIF):
```
data_Mn2BiPd8
_chemical_formula_sum 'Mn4 Bi2 Pd16'
_cell_length_a 14.295
_cell_length_b 4.070
_cell_length_c 6.313
_cell_angle_alpha 90.00
_cell_angle_beta 105.25
_cell_angle_gamma 90.00
_space_group_name_H-M_alt 'C 1 2/m 1'
_space_group_IT_number 12
loop_
_space_group_symop_operation_xyz
'x,y,z'
'-x,-y,-z'
'-x,y,-z'
'x,-y,z'
'x+1/2,y+1/2,z'
'-x+1/2,-y+1/2,-z'
'-x+1/2,y+1/2,-z'
'x+1/2,-y+1/2,z'
loop_
_atom_site_label
_atom_site_fract_x
_atom_site_fract_y
_atom_site_fract_z
Mn1 0.223 0.000 0.151
Bi1 0.000 0.500 0.500
Pd1 0.045 0.000 0.224
Pd2 0.099 0.500 0.967
Pd3 0.151 0.000 0.712
Pd4 0.182 0.500 0.418
```

Results
Density   10.97 Mg/m³
Calculated formation energy   -0.22 eV per atom
Calculated total energy   -6.02 eV per atom
Crystal system   monoclinic

[9]
AcLa12Tb7 | PBE | relaxed

Structure (CIF):
```
data_AcLa12Tb7
_chemical_formula_sum 'Ac3 La36 Tb21'
_cell_length_a 19.7468
_cell_length_b 19.7468
_cell_length_c 6.5756
_cell_angle_alpha 90.00
_cell_angle_beta 90.00
_cell_angle_gamma 120.00
_space_group_name_H-M_alt 'R -3'
_space_group_IT_number 148
_space_group_name_Hall '-R 3'
loop_
_atom_site_label
_atom_site_fract_x
_atom_site_fract_y
_atom_site_fract_z
Ac1 0.0000 0.0000 0.0000
La1 0.0280 0.6164 0.5662
La2 0.0953 0.8671 0.4065
Tb1 0.0000 0.0000 0.5000
Tb2 0.0620 0.1853 0.8964
```

Results
Density   6.74 Mg/m³
Calculated formation energy   0.27 eV per atom
Calculated total energy   -4.51 eV per atom
Crystal system   trigonal

[10]
Cr2AgPt2 | PBE | relaxed

Structure (CIF):
```
data_Cr2AgPt2
_chemical_formula_sum 'Cr4 Ag2 Pt4'
_cell_length_a 7.464
_cell_length_b 7.464
_cell_length_c 2.700
_cell_angle_alpha 90.00
_cell_angle_beta 90.00
_cell_angle_gamma 90.00
_space_group_name_H-M_alt 'P 4/m b m'
_space_group_IT_number 127
_space_group_name_Hall '-P 4 2ab'
loop_
_atom_site_label
_atom_site_fract_x
_atom_site_fract_y
_atom_site_fract_z
Cr1 0.107 0.393 0.000
Ag1 0.000 0.000 0.000
Pt1 0.179 0.679 0.500
```

Results
Density   13.29 Mg/m³
Calculated formation energy   0.06 eV per atom
Calculated total energy   -6.78 eV per atom
Crystal system   tetragonal

[11]
Ca3Hf3WN8 | PBE | relaxed

Structure (CIF):
```
data_Ca3Hf3WN8
_chemical_formula_sum 'Ca9 Hf9 W3 N24'
_cell_length_a 6.4355
_cell_length_b 6.4355
_cell_length_c 16.9212
_cell_angle_alpha 90.00
_cell_angle_beta 90.00
_cell_angle_gamma 120.00
_space_group_name_H-M_alt 'R -3 m'
_space_group_IT_number 166
_space_group_name_Hall '-R 3 2"'
loop_
_atom_site_label
_atom_site_fract_x
_atom_site_fract_y
_atom_site_fract_z
Ca1 0.0000 0.5000 0.0000
Hf1 0.0000 0.5000 0.5000
W1 0.0000 0.0000 0.5000
N1 0.0000 0.0000 0.2372
N2 0.0203 0.5101 0.2331
```

Results
Density   7.81 Mg/m³
Calculated total energy   -9.02 eV per atom
Crystal system   trigonal
Uncorrected formation energy   -1.32 eV/atom

[12]
LiAc4Tl3 | PBE | relaxed

Structure (CIF):
```
data_LiAc4Tl3
_chemical_formula_sum 'Li4 Ac16 Tl12'
_cell_length_a 8.202
_cell_length_b 8.208
_cell_length_c 16.586
_cell_angle_alpha 90.00
_cell_angle_beta 90.00
_cell_angle_gamma 90.00
_space_group_name_H-M_alt 'F m m m'
_space_group_IT_number 69
_space_group_name_Hall '-F 2 2'
loop_
_atom_site_label
_atom_site_fract_x
_atom_site_fract_y
_atom_site_fract_z
Li1 0.000 0.000 0.000
Ac1 0.250 0.250 0.126
Tl1 0.000 0.000 0.247
Tl2 0.000 0.000 0.500
```

Results
Density   9.09 Mg/m³
Calculated formation energy   -0.26 eV per atom
Calculated total energy   -3.44 eV per atom
Crystal system   orthorhombic

[13]
Ba2HoSnS5 | PBE | relaxed

Structure (CIF):
```
data_Ba2HoSnS5
_chemical_formula_sum 'Ba8 Ho4 Sn4 S20'
_cell_length_a 4.353
_cell_length_b 18.004
_cell_length_c 12.859
_cell_angle_alpha 90.00
_cell_angle_beta 90.00
_cell_angle_gamma 90.00
_space_group_name_H-M_alt 'C m c 21'
_space_group_IT_number 36
loop_
_space_group_symop_operation_xyz
'x,y,z'
'-x,-y,z+1/2'
'-x,y,z'
'x,-y,z+1/2'
'x+1/2,y+1/2,z'
'-x+1/2,-y+1/2,z+1/2'
'-x+1/2,y+1/2,z'
'x+1/2,-y+1/2,z+1/2'
loop_
_atom_site_label
_atom_site_fract_x
_atom_site_fract_y
_atom_site_fract_z
Ba1 0.000 0.114 0.000
Ba2 0.000 0.134 0.629
Ho1 0.000 0.213 0.339
Sn1 0.000 0.453 0.771
S1 0.000 0.055 0.372
S2 0.000 0.288 0.973
S3 0.000 0.316 0.698
S4 0.000 0.358 0.319
S5 0.000 0.496 0.092
```

Results
Density   4.74 Mg/m³
Calculated total energy   -5.28 eV per atom
Crystal system   orthorhombic
Uncorrected formation energy   -1.61 eV/atom

[14]
Be2Co2Se | PBE | relaxed

Structure (CIF):
```
data_Be2Co2Se
_chemical_formula_sum 'Be4 Co4 Se2'
_cell_length_a 3.310
_cell_length_b 3.310
_cell_length_c 11.050
_cell_angle_alpha 90.00
_cell_angle_beta 90.00
_cell_angle_gamma 90.00
_space_group_name_H-M_alt 'I 4/m m m'
_space_group_IT_number 139
_space_group_name_Hall '-I 4 2'
loop_
_atom_site_label
_atom_site_fract_x
_atom_site_fract_y
_atom_site_fract_z
Be1 0.000 0.000 0.103
Co1 0.000 0.500 0.250
Se1 0.000 0.000 0.500
```

Results
Density   5.89 Mg/m³
Calculated total energy   -4.69 eV per atom
Crystal system   tetragonal
Uncorrected formation energy   0.34 eV/atom

[15]
AcPmZrN3 | PBE | relaxed

Structure (CIF):
```
data_AcPmZrN3
_chemical_formula_sum 'Ac2 Pm2 Zr2 N6'
_cell_length_a 7.086
_cell_length_b 3.561
_cell_length_c 9.864
_cell_angle_alpha 90.00
_cell_angle_beta 91.71
_cell_angle_gamma 90.00
_space_group_name_H-M_alt 'P 1 21/m 1'
_space_group_IT_number 11
loop_
_space_group_symop_operation_xyz
'x,y,z'
'-x,-y,-z'
'-x,y+1/2,-z'
'x,-y+1/2,z'
loop_
_atom_site_label
_atom_site_fract_x
_atom_site_fract_y
_atom_site_fract_z
Ac1 0.152 0.250 0.208
Pm1 0.368 0.750 0.873
Zr1 0.164 0.250 0.566
N1 0.142 0.750 0.445
N2 0.168 0.250 0.776
N3 0.363 0.750 0.109
```

Results
Density   6.74 Mg/m³
Calculated total energy   -8.19 eV per atom
Crystal system   monoclinic
Uncorrected formation energy   -1.13 eV/atom

[16]
CuAg3Sn3S8 | PBE | relaxed

Structure (CIF):
```
data_CuAg3Sn3S8
_chemical_formula_sum 'Cu2 Ag6 Sn6 S16'
_cell_length_a 12.907
_cell_length_b 7.498
_cell_length_c 7.751
_cell_angle_alpha 90.00
_cell_angle_beta 123.83
_cell_angle_gamma 90.00
_space_group_name_H-M_alt 'C 1 2/m 1'
_space_group_IT_number 12
loop_
_space_group_symop_operation_xyz
'x,y,z'
'-x,-y,-z'
'-x,y,-z'
'x,-y,z'
'x+1/2,y+1/2,z'
'-x+1/2,-y+1/2,-z'
'-x+1/2,y+1/2,-z'
'x+1/2,-y+1/2,z'
loop_
_atom_site_label
_atom_site_fract_x
_atom_site_fract_y
_atom_site_fract_z
Cu1 0.000 0.000 0.000
Ag1 0.000 0.000 0.500
Ag2 0.250 0.250 0.500
Sn1 0.000 0.500 0.000
Sn2 0.250 0.250 0.000
S1 0.005 0.242 0.773
S2 0.227 0.000 0.220
S3 0.248 0.500 0.244
```

Results
Density   5.33 Mg/m³
Calculated total energy   -4.03 eV per atom
Crystal system   monoclinic
Uncorrected formation energy   -0.19 eV/atom

[17]
Fe2BiPt2 | PBE | relaxed

Structure (CIF):
```
data_Fe2BiPt2
_chemical_formula_sum 'Fe4 Bi2 Pt4'
_cell_length_a 6.607
_cell_length_b 6.607
_cell_length_c 3.649
_cell_angle_alpha 90.00
_cell_angle_beta 90.00
_cell_angle_gamma 90.00
_space_group_name_H-M_alt 'P 4/m b m'
_space_group_IT_number 127
_space_group_name_Hall '-P 4 2ab'
loop_
_atom_site_label
_atom_site_fract_x
_atom_site_fract_y
_atom_site_fract_z
Fe1 0.122 0.378 0.000
Bi1 0.000 0.000 0.000
Pt1 0.157 0.657 0.500
```

Results
Density   14.82 Mg/m³
Calculated formation energy   0.35 eV per atom
Calculated total energy   -6.22 eV per atom
Crystal system   tetragonal

[18]
NaScZn2 | PBE | relaxed

Structure (CIF):
```
data_NaScZn2
_chemical_formula_sum 'Na4 Sc4 Zn8'
_cell_length_a 6.797
_cell_length_b 6.797
_cell_length_c 6.797
_cell_angle_alpha 90.00
_cell_angle_beta 90.00
_cell_angle_gamma 90.00
_space_group_name_H-M_alt 'F m -3 m'
_space_group_IT_number 225
_space_group_name_Hall '-F 4 2 3'
loop_
_atom_site_label
_atom_site_fract_x
_atom_site_fract_y
_atom_site_fract_z
Na1 0.000 0.000 0.000
Sc1 0.000 0.000 0.500
Zn1 0.250 0.250 0.250
```

Results
Density   4.20 Mg/m³
Calculated formation energy   -0.01 eV per atom
Calculated total energy   -2.56 eV per atom
Crystal system   cubic

[19]
LiGa4RuRh2 | PBE | relaxed

Structure (CIF):
```
data_LiGa4RuRh2
_chemical_formula_sum 'Li3 Ga12 Ru3 Rh6'
_cell_length_a 4.2903
_cell_length_b 4.2903
_cell_length_c 20.9968
_cell_angle_alpha 90.00
_cell_angle_beta 90.00
_cell_angle_gamma 120.00
_space_group_name_H-M_alt 'R -3 m'
_space_group_IT_number 166
_space_group_name_Hall '-R 3 2"'
loop_
_atom_site_label
_atom_site_fract_x
_atom_site_fract_y
_atom_site_fract_z
Li1 0.0000 0.0000 0.0000
Ga1 0.0000 0.0000 0.1263
Ga2 0.0000 0.0000 0.3765
Ru1 0.0000 0.0000 0.5000
Rh1 0.0000 0.0000 0.2526
```

Results
Density   8.82 Mg/m³
Calculated formation energy   -0.53 eV per atom
Calculated total energy   -5.28 eV per atom
Crystal system   trigonal

[20]
HfBiS2N | PBE | relaxed

Structure (CIF):
```
data_HfBiS2N
_chemical_formula_sum 'Hf1 Bi1 S2 N1'
_cell_length_a 5.142
_cell_length_b 5.142
_cell_length_c 4.152
_cell_angle_alpha 90.00
_cell_angle_beta 90.00
_cell_angle_gamma 90.00
_space_group_name_H-M_alt 'P 4/m m m'
_space_group_IT_number 123
_space_group_name_Hall '-P 4 2'
loop_
_atom_site_label
_atom_site_fract_x
_atom_site_fract_y
_atom_site_fract_z
Hf1 0.000 0.000 0.000
Bi1 0.500 0.500 0.500
S1 0.000 0.500 0.500
N1 0.500 0.500 0.000
```

Results
Density   7.04 Mg/m³
Calculated total energy   -5.12 eV per atom
Crystal system   tetragonal
Uncorrected formation energy   0.97 eV/atom

[21]
Y6Ho2Tm3 | PBE | relaxed

Structure (CIF):
```
data_Y6Ho2Tm3
_chemical_formula_sum 'Y12 Ho4 Tm6'
_cell_length_a 4.698
_cell_length_b 4.698
_cell_length_c 33.216
_cell_angle_alpha 90.00
_cell_angle_beta 90.00
_cell_angle_gamma 90.00
_space_group_name_H-M_alt 'I 4/m m m'
_space_group_IT_number 139
_space_group_name_Hall '-I 4 2'
loop_
_atom_site_label
_atom_site_fract_x
_atom_site_fract_y
_atom_site_fract_z
Y1 0.000 0.000 0.199
Y2 0.000 0.500 0.121
Ho1 0.000 0.000 0.045
Tm1 0.000 0.000 0.302
Tm2 0.000 0.000 0.500
```

Results
Density   6.21 Mg/m³
Calculated formation energy   0.31 eV per atom
Calculated total energy   -5.27 eV per atom
Crystal system   tetragonal

[22]
Fe2PbCl | PBE | relaxed

Structure (CIF):
```
data_Fe2PbCl
_chemical_formula_sum 'Fe4 Pb2 Cl2'
_cell_length_a 6.886
_cell_length_b 6.897
_cell_length_c 3.121
_cell_angle_alpha 90.00
_cell_angle_beta 90.00
_cell_angle_gamma 90.00
_space_group_name_H-M_alt 'C m m m'
_space_group_IT_number 65
_space_group_name_Hall '-C 2 2'
loop_
_atom_site_label
_atom_site_fract_x
_atom_site_fract_y
_atom_site_fract_z
Fe1 0.250 0.250 0.000
Pb1 0.000 0.000 0.500
Cl1 0.000 0.500 0.500
```

Results
Density   7.94 Mg/m³
Calculated total energy   -4.98 eV per atom
Crystal system   orthorhombic
Uncorrected formation energy   0.64 eV/atom